Record 1
A relaxed TaFeHg crystal, computed with PBE-GGA.

Computed properties:
DFT formation energy in eV/atom: 0.3688
Crystal system: trigonal
N(E_F) in states/eV/atom: 0.806
Relative energy among the computed polymorphs in meV per atom: 103

a b c (Å): 3.095 3.095 6.419
angles (deg): 90.00 90.00 120.00
Fractional positions:
Ta 0.000 0.000 0.000
Fe 0.667 0.333 0.262
Hg 0.333 0.667 0.610

***

Record 2
A relaxed Rb3TlAu2Br9 crystal, computed with PBE-GGA.

Computed properties:
Formation energy without anion corrections in eV per atom: -0.87
Crystal system: trigonal
N(E_F) in states/eV/atom: 0.268

a b c (Å): 7.847 7.847 9.689
angles (deg): 90.00 90.00 120.00
Fractional positions:
Rb 0.000 0.000 0.000
Rb 0.333 0.667 0.672
Rb 0.667 0.333 0.328
Tl 0.000 0.000 0.500
Au 0.333 0.667 0.156
Au 0.667 0.333 0.844
Br 0.000 0.500 0.000
Br 0.173 0.345 0.322
Br 0.173 0.827 0.322
Br 0.345 0.173 0.678
Br 0.500 0.000 0.000
Br 0.500 0.500 0.000
Br 0.655 0.827 0.322
Br 0.827 0.173 0.678
Br 0.827 0.655 0.678

***

Record 3
A relaxed CuSeS2N crystal, computed with PBE-GGA.

Computed properties:
Formation energy without anion corrections in eV per atom: 1.29
Crystal system: tetragonal
N(E_F) in states/eV/atom: 1.088
Relative energy among the computed polymorphs in meV per atom: 183

a b c (Å): 4.867 4.867 3.614
angles (deg): 90.00 90.00 90.00
Fractional positions:
Cu 0.000 0.000 0.000
Se 0.500 0.500 0.500
S 0.000 0.500 0.500
S 0.500 0.000 0.500
N 0.500 0.500 0.000

***

What did the second record say?
A relaxed Rb3TlAu2Br9 crystal, computed with PBE-GGA.

Computed properties:
Formation energy without anion corrections in eV per atom: -0.87
Crystal system: trigonal
N(E_F) in states/eV/atom: 0.268

a b c (Å): 7.847 7.847 9.689
angles (deg): 90.00 90.00 120.00
Fractional positions:
Rb 0.000 0.000 0.000
Rb 0.333 0.667 0.672
Rb 0.667 0.333 0.328
Tl 0.000 0.000 0.500
Au 0.333 0.667 0.156
Au 0.667 0.333 0.844
Br 0.000 0.500 0.000
Br 0.173 0.345 0.322
Br 0.173 0.827 0.322
Br 0.345 0.173 0.678
Br 0.500 0.000 0.000
Br 0.500 0.500 0.000
Br 0.655 0.827 0.322
Br 0.827 0.173 0.678
Br 0.827 0.655 0.678

***

> Which of these has the highest N(E_F)?

CuSeS2N